# 1
{
  "formula": "Tb2BeFe2Co5",
  "functional": "PBE",
  "state": "relaxed",
  "delta_e_f_ev_per_atom": 0.082,
  "crystal_system": "tetragonal",
  "lattice": [[3.177, 0.000, 0.000], [0.000, 9.414, 0.000], [0.000, 0.000, 9.414]],
  "species": ["Be", "Be", "Tb", "Tb", "Tb", "Tb", "Co", "Co", "Co", "Co", "Co", "Co", "Co", "Co", "Co", "Co", "Fe", "Fe", "Fe", "Fe"],
  "frac_coords": [[0.000, 0.500, 0.500], [0.000, 0.000, 0.000], [0.000, 0.174, 0.326], [0.000, 0.674, 0.174], [0.000, 0.326, 0.826], [0.000, 0.826, 0.674], [0.500, 0.316, 0.551], [0.500, 0.684, 0.449], [0.500, 0.051, 0.816], [0.500, 0.949, 0.184], [0.500, 0.500, 0.000], [0.500, 0.000, 0.500], [0.500, 0.816, 0.949], [0.500, 0.449, 0.316], [0.500, 0.184, 0.051], [0.500, 0.551, 0.684], [0.000, 0.633, 0.867], [0.000, 0.133, 0.633], [0.000, 0.867, 0.367], [0.000, 0.367, 0.133]]
}

=====

# 2
{
  "formula": "Cs4CdF",
  "functional": "PBE",
  "state": "relaxed",
  "e_form_raw_ev_per_atom": -0.8490,
  "crystal_system": "monoclinic",
  "lattice": [[11.314, 0.216, 0.000], [-2.883, 11.663, 0.000], [0.000, 0.000, 12.360]],
  "species": ["Cs", "Cs", "Cs", "Cs", "Cs", "Cs", "Cs", "Cs", "Cs", "Cs", "Cs", "Cs", "Cs", "Cs", "Cs", "Cs", "F", "F", "F", "F", "Cd", "Cd", "Cd", "Cd"],
  "frac_coords": [[0.985, 0.113, 0.655], [0.063, 0.253, 0.996], [0.437, 0.247, 0.496], [0.515, 0.387, 0.155], [0.563, 0.753, 0.504], [0.729, 0.117, 0.292], [0.679, 0.019, 0.885], [0.321, 0.981, 0.115], [0.179, 0.519, 0.615], [0.271, 0.883, 0.708], [0.015, 0.887, 0.345], [0.821, 0.481, 0.385], [0.229, 0.617, 0.208], [0.771, 0.383, 0.792], [0.937, 0.747, 0.004], [0.485, 0.613, 0.845], [0.880, 0.198, 0.835], [0.120, 0.802, 0.165], [0.380, 0.698, 0.665], [0.620, 0.302, 0.335], [0.105, 0.275, 0.343], [0.605, 0.775, 0.157], [0.895, 0.725, 0.657], [0.395, 0.225, 0.843]]
}

=====

# 3
{
  "formula": "PaVH",
  "functional": "PBE",
  "state": "relaxed",
  "total_energy_ev_per_atom": -6.85,
  "crystal_system": "cubic",
  "lattice": [[3.933, 0.000, 0.000], [1.966, 3.406, 0.000], [1.966, 1.135, 3.211]],
  "species": ["H", "Pa", "V"],
  "frac_coords": [[0.250, 0.250, 0.250], [0.500, 0.500, 0.500], [0.000, 0.000, 0.000]]
}